VASP calculation (PBE) on crystalline Cs2AcGaO4 at its relaxed geometry.

* total magnetic moment: 0.0 μB per formula unit
* calculated volume: 32.16 Å³ per atom
* formation energy without anion corrections: -173.7 kJ per mole of atoms

a b c (Å): 14.528 13.305 7.233
angles (deg): 84.56 65.73 29.71
Sites, in units of the cell vectors:
Cs (0.068, 0.068, 0.682)
Cs (0.318, 0.318, 0.932)
Cs (0.682, 0.682, 0.068)
Cs (0.932, 0.932, 0.318)
Ac (0.125, 0.125, 0.125)
Ac (0.875, 0.875, 0.875)
Ga (0.375, 0.375, 0.375)
Ga (0.625, 0.625, 0.625)
O (0.052, 0.628, 0.518)
O (0.301, 0.518, 0.628)
O (0.372, 0.948, 0.699)
O (0.482, 0.699, 0.948)
O (0.518, 0.301, 0.052)
O (0.628, 0.052, 0.301)
O (0.699, 0.482, 0.372)
O (0.948, 0.372, 0.482)